# YSc

A PBEsol-optimized structure of YSc (SCAN, Alexandria).

a = 3.676 Å, b = 5.385 Å, c = 10.966 Å
α = 90.00°, β = 90.00°, γ = 90.00°
Atoms (fractional coordinates):
Y  0.000  0.250  0.111
Y  0.000  0.750  0.889
Y  0.500  0.250  0.389
Y  0.500  0.750  0.611
Sc  0.000  0.250  0.639
Sc  0.000  0.750  0.361
Sc  0.500  0.250  0.861
Sc  0.500  0.750  0.139

Values from the calculation:
ΔE to the lowest computed polymorph in eV/atom: 0.081
Fermi-level density of states in states/eV/f.u.: 3.3
Formation energy from the elements in eV/atom: 0.102
Energy in eV/atom: -20.938